# 1
8
Lattice="3.9162 0.0000 0.0000 0.0000 3.9162 0.0000 1.9581 1.9581 8.9230" Properties=species:S:1:pos:R:3 comment="CuSnRh2 PBE relaxed" dft_energy_ev_per_fu=-22.156 pbc="T T T"
Cu 1.9581 1.9581 0.0000
Cu 1.9581 3.9162 4.4615
Sn 0.0000 0.0000 0.0000
Sn 3.9162 1.9581 4.4615
Rh 2.7799 0.9791 2.2307
Rh 2.9372 3.0945 6.6922
Rh 1.1364 2.9372 2.2307
Rh 4.8953 4.7380 6.6922


# 2
4
Lattice="-4.5817 -5.0487 -0.8681 -6.1954 0.4384 2.9429 -5.5784 1.0507 -3.8747" Properties=species:S:1:pos:R:3 comment="KRbNa2 PBE relaxed" dft_energy_ev_per_fu=-4.570 relative_energy_ev_per_atom=0.005 pbc="T T T"
Na -12.2666 -2.6698 -1.3499
Na -4.0889 -0.8899 -0.4500
K 0.0000 0.0000 0.0000
Rb -8.1777 -1.7798 -0.8999


# 3
4
Lattice="2.0560 0.0000 8.8529 -1.0280 1.7805 8.8529 -1.0280 -1.7805 8.8529" Properties=species:S:1:pos:R:3 comment="CdHgF2 PBE relaxed" dft_energy_ev_per_fu=-11.264 formation_energy_uncorrected_ev_per_atom=-1.58 relative_energy_ev_per_atom=0.000 pbc="T T T"
F 0.0000 0.0000 23.1340
F 0.0000 0.0000 3.4247
Hg 0.0000 0.0000 0.0000
Cd 0.0000 0.0000 13.2794


# 4
10
Lattice="-3.3298 0.0452 4.7520 -4.1400 -2.7958 -2.8744 1.9685 -8.0543 4.9987" Properties=species:S:1:pos:R:3 comment="Sm3YTl PBE relaxed" dft_energy_ev_per_fu=-23.262 relative_energy_ev_per_atom=0.020 pbc="T T T"
Sm -3.3798 -1.5498 3.4862
Sm -1.9689 -4.6862 4.5047
Sm -3.7797 -2.9819 -0.3232
Sm -4.2803 -9.2258 6.4710
Sm -2.3615 -6.1346 0.7006
Sm -0.5506 -7.8389 5.5284
Y -1.0524 -3.0450 1.5884
Y -3.2779 -7.7758 3.6168
Tl -4.7380 -4.5301 2.5629
Tl -2.9222 -6.2456 7.3944


# 5
4
Lattice="4.6255 0.0000 0.0000 2.3127 4.0058 0.0000 2.3127 1.3353 3.7767" Properties=species:S:1:pos:R:3 comment="TmHfFeIr PBE relaxed" dft_energy_ev_per_fu=-33.868 pbc="T T T"
Fe 0.0000 0.0000 0.0000
Tm 2.3127 1.3353 0.9442
Ir 4.6255 2.6705 1.8883
Hf 6.9382 4.0058 2.8325


no.,V (Å³/atom),magnetization (μB/f.u.)
1,17.11,0.00
2,57.39,0.00
3,24.31,0.00
4,30.89,0.00
5,17.49,0.21